1.
Here is an optimized crystal structure of KSc2Rh from Alexandria. Energies are from PBE-GGA.

a = 3.9683 Å, b = 3.9683 Å, c = 9.4538 Å
α = 77.81°, β = 77.81°, γ = 59.86°
Sites, in units of the cell vectors:
K1 0.5021 0.5021 0.5009
Rh1 0.3325 0.3325 0.9999
Sc1 0.9543 0.9543 0.1349
Sc2 0.7111 0.7111 0.8644

Computed properties:
- E above lowest polymorph: 25 meV/atom
- Space-group type: Cm, No. 8
- Formation energy: -83 kJ/mol of formula units

2.
Here is an optimized crystal structure of Li3Cu from Alexandria. Energies are from PBE-GGA.

a = 4.7658 Å, b = 4.7658 Å, c = 4.8374 Å
α = 81.68°, β = 81.68°, γ = 33.92°
Sites, in units of the cell vectors:
Cu1 0.0000 0.0000 0.0000
Li1 0.5000 0.5000 0.5000
Li2 0.7391 0.7391 0.7687
Li3 0.2609 0.2609 0.2313

Computed properties:
- Space-group type: C2/m, No. 12
- Formation energy: 7 kJ/mol of formula units

3.
Here is an optimized crystal structure of BaLaCrN2 from Alexandria. Energies are from PBE-GGA.

a = 4.5122 Å, b = 6.6316 Å, c = 4.5122 Å
α = 90.00°, β = 90.00°, γ = 90.00°
Site moments in Bohr magnetons follow the coordinates.
Sites, in units of the cell vectors:
Cr1 0.5000 0.5000 0.5000  -0.87
N1 0.0000 0.0000 0.5000  -0.04
N2 0.5000 0.0000 0.0000  -0.03
Ba1 0.0000 0.0000 0.0000  0.00
La1 0.0000 0.5000 0.0000  0.08

Computed properties:
- Space-group type: P4/mmm, No. 123
- Formation energy from raw total energies: 2374 meV per atom

4.
Here is an optimized crystal structure of GdHfCo from Alexandria. Energies are from PBE-GGA.

a = 3.2744 Å, b = 3.2744 Å, c = 6.3081 Å
α = 105.04°, β = 105.04°, γ = 90.00°
Site moments in Bohr magnetons follow the coordinates.
Sites, in units of the cell vectors:
Co1 0.6911 0.6911 0.3823  0.22
Gd1 0.0181 0.0181 0.0362  7.19
Hf1 0.2908 0.2908 0.5815  0.08

Computed properties:
- Space-group type: I4mm, No. 107
- Formation energy: -25 kJ/mol of formula units

5.
Here is an optimized crystal structure of YCdTc2Te from Alexandria. Energies are from PBE-GGA.

a = 5.0942 Å, b = 5.6891 Å, c = 5.0942 Å
α = 90.00°, β = 90.00°, γ = 90.00°
Site moments in Bohr magnetons follow the coordinates.
Sites, in units of the cell vectors:
Y1 0.0000 0.0000 0.0000  -0.09
Te1 0.0000 0.5000 0.0000  0.10
Tc1 0.0000 0.0000 0.5000  2.04
Tc2 0.5000 0.0000 0.0000  2.64
Cd1 0.5000 0.5000 0.5000  -0.07

Computed properties:
- Space-group type: P4/mmm, No. 123
- Formation energy from raw total energies: 1576 meV per atom

6.
Here is an optimized crystal structure of PrMgSi from Alexandria. Energies are from PBE-GGA.

a = 3.4167 Å, b = 3.4167 Å, c = 6.5969 Å
α = 105.01°, β = 105.01°, γ = 90.00°
Sites, in units of the cell vectors:
Pr1 0.6318 0.6318 0.2636
Si1 0.2970 0.2970 0.5941
Mg1 0.9211 0.9211 0.8423

Computed properties:
- Space-group type: I4mm, No. 107
- Formation energy from raw total energies: -159 meV per atom

7.
Here is an optimized crystal structure of TlAgTe2 from Alexandria. Energies are from PBE-GGA.

a = 16.8110 Å, b = 6.7963 Å, c = 6.7838 Å
α = 90.00°, β = 139.87°, γ = 90.00°
Sites, in units of the cell vectors:
Tl1 0.2512 0.2518 0.0014
Tl2 0.7488 0.7482 0.9986
Tl3 0.2488 0.7518 0.4986
Tl4 0.7512 0.2482 0.5014
Te1 0.8790 0.7730 0.7149
Te2 0.1210 0.2270 0.2851
Te3 0.6210 0.2730 0.7851
Te4 0.3790 0.7270 0.2149
Te5 0.1207 0.7782 0.7863
Te6 0.8793 0.2218 0.2137
Te7 0.3793 0.2782 0.7137
Te8 0.6207 0.7218 0.2863
Ag1 0.5002 0.0578 0.2470
Ag2 0.4998 0.9422 0.7530
Ag3 0.9998 0.5578 0.2530
Ag4 0.0002 0.4422 0.7470

Computed properties:
- Space-group type: P2_1/c, No. 14
- Formation energy from raw total energies: -136 meV per atom

8.
Here is an optimized crystal structure of Sr6As2I3Cl from Alexandria. Energies are from PBE-GGA.

a = 7.8951 Å, b = 7.8951 Å, c = 8.2446 Å
α = 99.14°, β = 99.14°, γ = 119.96°
Sites, in units of the cell vectors:
Sr1 0.9295 0.5837 0.7894
Sr2 0.7235 0.7235 0.2070
Sr3 0.0705 0.4163 0.2106
Sr4 0.5837 0.9295 0.7894
Sr5 0.2765 0.2765 0.7930
Sr6 0.4163 0.0705 0.2106
As1 0.3327 0.6673 0.0000
As2 0.6673 0.3327 0.0000
I1 0.1629 0.8371 0.5000
I2 0.8371 0.1629 0.5000
I3 0.5000 0.5000 0.5000
Cl1 0.0000 0.0000 0.0000

Computed properties:
- Space-group type: C2/m, No. 12
- Formation energy from raw total energies: -1423 meV per atom